# 1
K2BeHg: relaxed, GGA-PBE.

Values from the calculation:
ΔE_f (eV/atom): 0.589
Energy (eV/cell): -3.87
Polymorph energy (0 for the lowest one) (kJ per mole of atoms): 36.96
Calculated volume (Å³/atom): 40.210

a b c (Å): 5.496 5.496 7.580
angles (deg): 102.76 102.76 46.35
Positions (direct):
K 0.244 0.244 0.234
K 0.756 0.756 0.766
Be 0.500 0.500 0.000
Hg 0.000 0.000 0.500

# 2
TcIrRh2: relaxed, GGA-PBE.

Values from the calculation:
ΔE_f (eV/atom): -0.088
Energy (eV/cell): -34.28
Polymorph energy (0 for the lowest one) (kJ per mole of atoms): 1.15
Calculated volume (Å³/atom): 14.329

a b c (Å): 2.720 2.720 7.745
angles (deg): 90.00 90.00 90.00
Positions (direct):
Tc 0.000 0.000 0.000
Ir 0.500 0.500 0.247
Rh 0.000 0.000 0.499
Rh 0.500 0.500 0.754

# 3
Ba3Li3Hg: relaxed, GGA-PBE.

Values from the calculation:
ΔE_f (eV/atom): -0.114
Energy (eV/cell): -25.22
Calculated volume (Å³/atom): 36.598

a b c (Å): 6.882 6.882 15.302
angles (deg): 90.00 90.00 135.00
Positions (direct):
Ba 0.032 0.968 0.750
Ba 0.262 0.738 0.100
Ba 0.262 0.738 0.400
Ba 0.738 0.262 0.600
Ba 0.738 0.262 0.900
Ba 0.968 0.032 0.250
Li 0.334 0.666 0.750
Li 0.453 0.547 0.581
Li 0.453 0.547 0.919
Li 0.547 0.453 0.081
Li 0.547 0.453 0.419
Li 0.666 0.334 0.250
Hg 0.000 0.000 0.000
Hg 0.000 0.000 0.500

# 4
RbZrBe2Fe: relaxed, GGA-PBE.

Values from the calculation:
ΔE_f (eV/atom): 0.769
Energy (eV/cell): -21.59
Polymorph energy (0 for the lowest one) (kJ per mole of atoms): 0.00
Calculated volume (Å³/atom): 19.601

a b c (Å): 4.653 4.653 4.527
angles (deg): 90.00 90.00 90.00
Positions (direct):
Rb 0.000 0.000 0.000
Zr 0.500 0.500 0.000
Be 0.000 0.500 0.500
Be 0.500 0.000 0.500
Fe 0.500 0.500 0.500

# 5
Sr2CuGeN: relaxed, GGA-PBE.

Values from the calculation:
Formation energy without anion corrections (eV per atom): -0.35
Energy (eV/cell): -22.17
Calculated volume (Å³/atom): 22.069

a b c (Å): 5.475 5.475 3.681
angles (deg): 90.00 90.00 90.00
Positions (direct):
Sr 0.000 0.500 0.000
Sr 0.500 0.000 0.000
Cu 0.000 0.000 0.500
Ge 0.500 0.500 0.500
N 0.000 0.000 0.000